Computed, not measured: a relaxed structure of TcNiF2 at the PBE+U level of DFT.

Results
N(E_F) = 3.18 states/eV per cell
Distance to the lowest polymorph of the same formula = 0.6111 eV per atom

Unit cell a=6.398 b=6.398 c=5.507 alpha=90.00 beta=90.00 gamma=90.00
Space group I-42d (No. 122)
Symmetry-distinct sites (fractional):
Tc 0.000 0.000 0.000
Ni 0.000 0.000 0.500
F 0.225 0.250 0.125